[1]
Below is crystalline NbZn4W at its relaxed geometry, with properties calculated at the PBE level.

Calculated values
The calculation puts the volume at 349 Å³ per cell. The calculation puts the magnetic moment at 0.00 Bohr magnetons per cell. As for the energy relative to the elements: -0.0208 eV per atom. The value obtained for the total energy is -112.974 eV for the cell shown.

CIF file:
```
data_NbZn4W
_chemical_formula_sum 'Nb4 Zn16 W4'
_cell_length_a 7.0390
_cell_length_b 7.0390
_cell_length_c 7.0390
_cell_angle_alpha 90.00
_cell_angle_beta 90.00
_cell_angle_gamma 90.00
_space_group_name_H-M_alt 'F -4 3 m'
_space_group_IT_number 216
_space_group_name_Hall 'F -4 2 3'
loop_
_atom_site_label
_atom_site_type_symbol
_atom_site_fract_x
_atom_site_fract_y
_atom_site_fract_z
_atom_site_occupancy
Nb1 Nb 0.0000 0.0000 0.0000 1
Zn1 Zn 0.1247 0.1247 0.3753 1
W1 W 0.2500 0.2500 0.7500 1
```

[2]
Below is crystalline Nb2Zn2W at its relaxed geometry, with properties calculated at the PBE level.

Calculated values
The calculation puts the volume at 162 Å³ per cell. The calculation puts the magnetic moment at 0.00 Bohr magnetons per cell. As for the energy relative to the elements: 0.1094 eV per atom. The value obtained for the total energy is -70.187 eV for the cell shown.

CIF file:
```
data_Nb2Zn2W
_chemical_formula_sum 'Nb4 Zn4 W2'
_cell_length_a 6.8198
_cell_length_b 6.8198
_cell_length_c 3.4771
_cell_angle_alpha 90.00
_cell_angle_beta 90.00
_cell_angle_gamma 90.00
_space_group_name_H-M_alt 'P 4/m b m'
_space_group_IT_number 127
_space_group_name_Hall '-P 4 2ab'
loop_
_atom_site_label
_atom_site_type_symbol
_atom_site_fract_x
_atom_site_fract_y
_atom_site_fract_z
_atom_site_occupancy
Nb1 Nb 0.1800 0.3200 0.0000 1
Zn1 Zn 0.1229 0.6229 0.5000 1
W1 W 0.0000 0.0000 0.5000 1
```

[3]
Below is crystalline Nb14ZnW at its relaxed geometry, with properties calculated at the PBE level.

Calculated values
The calculation puts the volume at 288 Å³ per cell. The calculation puts the magnetic moment at 0.00 Bohr magnetons per cell. As for the energy relative to the elements: -0.0174 eV per atom. The value obtained for the total energy is -155.483 eV for the cell shown.

CIF file:
```
data_Nb14ZnW
_chemical_formula_sum 'Nb14 Zn1 W1'
_cell_length_a 6.5874
_cell_length_b 6.5874
_cell_length_c 6.6264
_cell_angle_alpha 90.00
_cell_angle_beta 90.00
_cell_angle_gamma 90.00
_space_group_name_H-M_alt 'P 4/m m m'
_space_group_IT_number 123
_space_group_name_Hall '-P 4 2'
loop_
_atom_site_label
_atom_site_type_symbol
_atom_site_fract_x
_atom_site_fract_y
_atom_site_fract_z
_atom_site_occupancy
Nb1 Nb 0.0000 0.0000 0.0000 1
Nb2 Nb 0.0000 0.5000 0.0000 1
Nb3 Nb 0.0000 0.5000 0.5000 1
Nb4 Nb 0.2461 0.2461 0.2508 1
Nb5 Nb 0.5000 0.5000 0.0000 1
Zn1 Zn 0.5000 0.5000 0.5000 1
W1 W 0.0000 0.0000 0.5000 1
```

[4]
Below is crystalline Nb3ZnW at its relaxed geometry, with properties calculated at the PBE level.

Calculated values
The calculation puts the volume at 116 Å³ per cell. The calculation puts the magnetic moment at 0.00 Bohr magnetons per cell. As for the energy relative to the elements: 1.3472 eV per atom. The value obtained for the total energy is -37.701 eV for the cell shown. For the energy above the most stable polymorph in this dataset, the calculation gives 0 meV per atom.

CIF file:
```
data_Nb3ZnW
_chemical_formula_sum 'Nb3 Zn1 W1'
_cell_length_a 4.8789
_cell_length_b 4.8789
_cell_length_c 4.8789
_cell_angle_alpha 90.00
_cell_angle_beta 90.00
_cell_angle_gamma 90.00
_space_group_name_H-M_alt 'P m -3 m'
_space_group_IT_number 221
_space_group_name_Hall '-P 4 2 3'
loop_
_atom_site_label
_atom_site_type_symbol
_atom_site_fract_x
_atom_site_fract_y
_atom_site_fract_z
_atom_site_occupancy
Nb1 Nb 0.0000 0.0000 0.5000 1
Zn1 Zn 0.5000 0.5000 0.5000 1
W1 W 0.0000 0.0000 0.0000 1
```

[5]
Below is crystalline NbZnW2 at its relaxed geometry, with properties calculated at the PBE level.

Calculated values
The calculation puts the volume at 279 Å³ per cell. The calculation puts the magnetic moment at 0.00 Bohr magnetons per cell. As for the energy relative to the elements: 0.9486 eV per atom. The value obtained for the total energy is -133.823 eV for the cell shown.

CIF file:
```
data_NbZnW2
_chemical_formula_sum 'Nb4 Zn4 W8'
_cell_length_a 7.2459
_cell_length_b 7.2459
_cell_length_c 5.3165
_cell_angle_alpha 90.00
_cell_angle_beta 90.00
_cell_angle_gamma 90.00
_space_group_name_H-M_alt 'I -4 2 d'
_space_group_IT_number 122
_space_group_name_Hall 'I -4 2bw'
loop_
_atom_site_label
_atom_site_type_symbol
_atom_site_fract_x
_atom_site_fract_y
_atom_site_fract_z
_atom_site_occupancy
Nb1 Nb 0.0000 0.0000 0.0000 1
Zn1 Zn 0.0000 0.0000 0.5000 1
W1 W 0.2331 0.2500 0.6250 1
```

[6]
Below is crystalline Nb3ZnW at its relaxed geometry, with properties calculated at the PBE level.

Calculated values
The calculation puts the volume at 100 Å³ per cell. The calculation puts the magnetic moment at 0.00 Bohr magnetons per cell. As for the energy relative to the elements: 1.4942 eV per atom. The value obtained for the total energy is -36.965 eV for the cell shown. For the energy above the most stable polymorph in this dataset, the calculation gives 147 meV per atom.

CIF file:
```
data_Nb3ZnW
_chemical_formula_sum 'Nb3 Zn1 W1'
_cell_length_a 4.6454
_cell_length_b 4.6454
_cell_length_c 4.6454
_cell_angle_alpha 90.00
_cell_angle_beta 90.00
_cell_angle_gamma 90.00
_space_group_name_H-M_alt 'P m -3 m'
_space_group_IT_number 221
_space_group_name_Hall '-P 4 2 3'
loop_
_atom_site_label
_atom_site_type_symbol
_atom_site_fract_x
_atom_site_fract_y
_atom_site_fract_z
_atom_site_occupancy
Nb1 Nb 0.0000 0.0000 0.5000 1
Zn1 Zn 0.0000 0.0000 0.0000 1
W1 W 0.5000 0.5000 0.5000 1
```

[7]
Below is crystalline Zr2NbZnW at its relaxed geometry, with properties calculated at the PBE level.

Calculated values
The calculation puts the volume at 110 Å³ per cell. The calculation puts the magnetic moment at 0.00 Bohr magnetons per cell. As for the energy relative to the elements: 1.2508 eV per atom. The value obtained for the total energy is -35.139 eV for the cell shown.

CIF file:
```
data_Zr2NbZnW
_chemical_formula_sum 'Zr2 Nb1 Zn1 W1'
_cell_length_a 4.8506
_cell_length_b 4.8506
_cell_length_c 4.6772
_cell_angle_alpha 90.00
_cell_angle_beta 90.00
_cell_angle_gamma 90.00
_space_group_name_H-M_alt 'P 4/m m m'
_space_group_IT_number 123
_space_group_name_Hall '-P 4 2'
loop_
_atom_site_label
_atom_site_type_symbol
_atom_site_fract_x
_atom_site_fract_y
_atom_site_fract_z
_atom_site_occupancy
Zr1 Zr 0.0000 0.5000 0.0000 1
Nb1 Nb 0.0000 0.0000 0.5000 1
Zn1 Zn 0.0000 0.0000 0.0000 1
W1 W 0.5000 0.5000 0.5000 1
```

[8]
Below is crystalline Zr2NbW at its relaxed geometry, with properties calculated at the PBE level.

Calculated values
The calculation puts the volume at 331 Å³ per cell. The calculation puts the magnetic moment at 0.00 Bohr magnetons per cell. As for the energy relative to the elements: 0.6996 eV per atom. The value obtained for the total energy is -149.283 eV for the cell shown. For the energy above the most stable polymorph in this dataset, the calculation gives 519 meV per atom.

CIF file:
```
data_Zr2NbW
_chemical_formula_sum 'Zr8 Nb4 W4'
_cell_length_a 7.5698
_cell_length_b 7.5698
_cell_length_c 5.7721
_cell_angle_alpha 90.00
_cell_angle_beta 90.00
_cell_angle_gamma 90.00
_space_group_name_H-M_alt 'I -4 2 d'
_space_group_IT_number 122
_space_group_name_Hall 'I -4 2bw'
loop_
_atom_site_label
_atom_site_type_symbol
_atom_site_fract_x
_atom_site_fract_y
_atom_site_fract_z
_atom_site_occupancy
Zr1 Zr 0.2408 0.7500 0.1250 1
Nb1 Nb 0.0000 0.0000 0.5000 1
W1 W 0.0000 0.0000 0.0000 1
```

[9]
Below is crystalline ZrNb4W at its relaxed geometry, with properties calculated at the PBE level.

Calculated values
The calculation puts the volume at 459 Å³ per cell. The calculation puts the magnetic moment at 0.00 Bohr magnetons per cell. As for the energy relative to the elements: 0.1872 eV per atom. The value obtained for the total energy is -242.629 eV for the cell shown.

CIF file:
```
data_ZrNb4W
_chemical_formula_sum 'Zr4 Nb16 W4'
_cell_length_a 7.7132
_cell_length_b 7.7132
_cell_length_c 7.7132
_cell_angle_alpha 90.00
_cell_angle_beta 90.00
_cell_angle_gamma 90.00
_space_group_name_H-M_alt 'F -4 3 m'
_space_group_IT_number 216
_space_group_name_Hall 'F -4 2 3'
loop_
_atom_site_label
_atom_site_type_symbol
_atom_site_fract_x
_atom_site_fract_y
_atom_site_fract_z
_atom_site_occupancy
Zr1 Zr 0.0000 0.0000 0.0000 1
Nb1 Nb 0.1250 0.1250 0.6250 1
W1 W 0.2500 0.2500 0.2500 1
```

[10]
Below is crystalline Zr2Nb2W at its relaxed geometry, with properties calculated at the PBE level.

Calculated values
The calculation puts the volume at 211 Å³ per cell. The calculation puts the magnetic moment at 0.00 Bohr magnetons per cell. As for the energy relative to the elements: 0.3555 eV per atom. The value obtained for the total energy is -96.823 eV for the cell shown.

CIF file:
```
data_Zr2Nb2W
_chemical_formula_sum 'Zr4 Nb4 W2'
_cell_length_a 6.6552
_cell_length_b 6.6552
_cell_length_c 4.7565
_cell_angle_alpha 90.00
_cell_angle_beta 90.00
_cell_angle_gamma 90.00
_space_group_name_H-M_alt 'P 4/m b m'
_space_group_IT_number 127
_space_group_name_Hall '-P 4 2ab'
loop_
_atom_site_label
_atom_site_type_symbol
_atom_site_fract_x
_atom_site_fract_y
_atom_site_fract_z
_atom_site_occupancy
Zr1 Zr 0.1688 0.3312 0.0000 1
Nb1 Nb 0.1472 0.6472 0.5000 1
W1 W 0.0000 0.0000 0.5000 1
```

The highest volume belongs to which entry? ZrNb4W

Which formula does entry 9 have? ZrNb4W

Please write out number 6 again, unchanged.
Below is crystalline Nb3ZnW at its relaxed geometry, with properties calculated at the PBE level.

Calculated values
The calculation puts the volume at 100 Å³ per cell. The calculation puts the magnetic moment at 0.00 Bohr magnetons per cell. As for the energy relative to the elements: 1.4942 eV per atom. The value obtained for the total energy is -36.965 eV for the cell shown. For the energy above the most stable polymorph in this dataset, the calculation gives 147 meV per atom.

CIF file:
```
data_Nb3ZnW
_chemical_formula_sum 'Nb3 Zn1 W1'
_cell_length_a 4.6454
_cell_length_b 4.6454
_cell_length_c 4.6454
_cell_angle_alpha 90.00
_cell_angle_beta 90.00
_cell_angle_gamma 90.00
_space_group_name_H-M_alt 'P m -3 m'
_space_group_IT_number 221
_space_group_name_Hall '-P 4 2 3'
loop_
_atom_site_label
_atom_site_type_symbol
_atom_site_fract_x
_atom_site_fract_y
_atom_site_fract_z
_atom_site_occupancy
Nb1 Nb 0.0000 0.0000 0.5000 1
Zn1 Zn 0.0000 0.0000 0.0000 1
W1 W 0.5000 0.5000 0.5000 1
```